{"formula": "La2CeI6", "functional": "PBE", "state": "optimized geometry", "lattice_angstrom": [[8.159, 0.000, 0.000], [0.000, 8.159, 0.000], [0.000, 0.000, 12.347]], "species": ["La", "La", "La", "La", "Ce", "Ce", "I", "I", "I", "I", "I", "I", "I", "I", "I", "I", "I", "I"], "frac_coords": [[0.000, 0.000, 0.165], [0.000, 0.000, 0.835], [0.500, 0.500, 0.335], [0.500, 0.500, 0.665], [0.000, 0.000, 0.500], [0.500, 0.500, 0.000], [0.215, 0.215, 0.333], [0.215, 0.215, 0.667], [0.217, 0.217, 0.000], [0.283, 0.717, 0.500], [0.285, 0.715, 0.167], [0.285, 0.715, 0.833], [0.715, 0.285, 0.167], [0.715, 0.285, 0.833], [0.717, 0.283, 0.500], [0.783, 0.783, 0.000], [0.785, 0.785, 0.333], [0.785, 0.785, 0.667]], "volume_a3_per_cell": 822.0, "crystal_system": "tetragonal", "formation_energy_uncorrected_ev_per_fu": -11.14, "final_energy_ev_per_fu": -36.2, "spacegroup": "P4_2/mnm, No. 136", "e_above_lowest_polymorph_ev_per_fu": 0.886}